(1)
## CdSi2Hg (PBE)

Data for a relaxed CdSi2Hg crystal.

Computed properties:
The total energy is -10.6 eV/f.u. The calculation puts the formation energy (no corrections) at 0.376 eV per atom. For the offset from the most stable computed form, the calculation gives 162 meV per atom. The density is 7.69 g cm⁻³.

abc: 3.1179 3.1179 28.4234
angles: 90.00 90.00 120.00
Space group R3m (No. 160, hexagonal axes)
Symmetry-distinct sites (fractional):
Cd1 0.0000 0.0000 0.0000 x3
Si1 0.0000 0.0000 0.2473 x3
Si2 0.0000 0.0000 0.5201 x3
Hg1 0.0000 0.0000 0.7633 x3


(2)
## Pr3GeSb (PBE)

Data for a relaxed Pr3GeSb crystal.

Computed properties:
The total energy is -26.9 eV/f.u. The calculation puts the formation energy (no corrections) at -0.761 eV per atom. The density is 6.31 g cm⁻³.

abc: 5.6496 6.3901 8.9950
angles: 90.00 90.04 90.00
Space group P2_1/m (No. 11)
Symmetry-distinct sites (fractional):
Pr1 0.0000 0.0000 0.0000 x2
Pr2 0.0003 0.2500 0.3602 x2
Pr3 0.4996 0.2500 0.7606 x2
Ge1 0.9995 0.2500 0.6888 x2
Sb1 0.5002 0.2500 0.1488 x2


(3)
## CePrZn (PBE)

Data for a relaxed CePrZn crystal.

Computed properties:
Its formation energy is -127 meV per atom. The total energy is -12.4 eV/f.u. For the offset from the most stable computed form, the calculation gives 0 meV per atom. The density is 7.14 g cm⁻³.

abc: 3.5743 16.8366 5.3520
angles: 90.00 90.00 90.00
Space group Cmcm (No. 63)
Symmetry-distinct sites (fractional):
Ce1 0.0000 0.2359 0.2500 x4
Pr1 0.0000 0.0741 0.7500 x4
Zn1 0.0000 0.4135 0.7500 x4


(4)
## La4IrAuCl2 (PBE)

Data for a relaxed La4IrAuCl2 crystal.

Computed properties:
The total energy is -45.5 eV/f.u. The calculation puts the formation energy (no corrections) at -1.243 eV per atom. The density is 7.04 g cm⁻³.

abc: 7.4466 4.2770 7.9152
angles: 90.00 108.21 90.00
Space group P2/m (No. 10)
Symmetry-distinct sites (fractional):
La1 0.2277 0.0000 0.2118 x2
La2 0.2397 0.5000 0.7853 x2
Ir1 0.0000 0.5000 0.0000 x1
Au1 0.5000 0.0000 0.0000 x1
Cl1 0.0000 0.0000 0.5000 x1
Cl2 0.5000 0.5000 0.5000 x1


Please write out number 3 again, unchanged.
## CePrZn (PBE)

Data for a relaxed CePrZn crystal.

Computed properties:
Its formation energy is -127 meV per atom. The total energy is -12.4 eV/f.u. For the offset from the most stable computed form, the calculation gives 0 meV per atom. The density is 7.14 g cm⁻³.

abc: 3.5743 16.8366 5.3520
angles: 90.00 90.00 90.00
Space group Cmcm (No. 63)
Symmetry-distinct sites (fractional):
Ce1 0.0000 0.2359 0.2500 x4
Pr1 0.0000 0.0741 0.7500 x4
Zn1 0.0000 0.4135 0.7500 x4